Entry 1:
Na2CrFeOs (PBE, optimized geometry); energy relative to the lowest polymorph listed for this composition = 0.0 kJ per mole of atoms; formation energy = 1.72 eV per atom; space-group type = P4/mmm, No. 123
1.0
5.425 0.000 0.000
0.000 4.425 0.000
0.000 0.000 5.425
Cr Os Fe Na
1 1 1 2
Cartesian
0.000 2.212 0.000
0.000 0.000 0.000
2.712 2.212 2.712
0.000 0.000 2.712
2.712 0.000 0.000

=====

Entry 2:
La2GaIr (PBE, optimized geometry); formation energy = -0.32 eV per atom; space-group type = I-42d, No. 122
1.0
-3.043 -5.668 4.847
7.456 -2.414 1.858
2.269 -1.828 5.979
Ir Ga La
2 2 4
Cartesian
0.000 0.000 0.000
0.716 -5.768 7.089
2.207 -4.041 3.353
5.966 -4.141 5.595
-0.535 -4.547 4.967
4.979 -2.428 3.052
3.033 -4.297 6.918
5.887 -8.547 10.432

=====

Entry 3:
ZrAs2Ir2 (PBE, optimized geometry); formation energy = -0.24 eV per atom; space-group type = I4/mmm, No. 139
1.0
-3.105 -0.371 -2.351
-1.972 -1.763 2.883
-4.544 4.156 2.089
As Ir Zr
2 2 1
Cartesian
-5.094 1.358 0.002
-4.527 0.662 2.619
-2.974 0.068 0.662
-6.647 1.953 1.959
0.000 0.000 0.000

=====

Entry 4:
Mg2MnCo (PBE, optimized geometry); energy relative to the lowest polymorph listed for this composition = 16.7 kJ per mole of atoms; formation energy = 0.26 eV per atom; space-group type = R3m, No. 160
1.0
9.163 0.021 0.012
8.692 2.901 0.012
8.692 1.422 2.528
Co Mg Mn
1 2 1
Cartesian
20.086 3.287 1.931
0.321 0.053 0.031
6.444 1.054 0.620
12.971 2.122 1.247

=====

Entry 5:
Pm2Zn12GaCu3 (PBE, optimized geometry); formation energy = 0.22 eV per atom; space-group type = R-3m, No. 166
1.0
7.727 -0.407 -0.289
3.462 6.920 -0.289
3.462 2.015 6.626
Pm Zn Ga Cu
2 12 1 3
Cartesian
8.778 5.109 3.624
5.872 3.418 2.424
7.321 4.262 6.333
10.911 6.351 1.890
8.765 7.570 5.369
10.038 2.719 1.928
10.911 3.883 5.369
7.321 7.386 1.928
7.328 4.266 -0.285
3.739 2.176 4.159
5.885 0.958 0.679
4.611 5.809 4.120
3.739 4.644 0.679
7.328 1.141 4.120
0.000 0.000 0.000
3.863 -0.204 -0.145
1.731 3.460 -0.145
1.731 1.007 3.313

=====

Entry 6:
PrEuGaPd (PBE, optimized geometry); formation energy = -0.55 eV per atom; space-group type = F-43m, No. 216
1.0
5.219 0.000 0.000
2.609 4.520 0.000
2.609 1.507 4.261
Eu Pr Ga Pd
1 1 1 1
Cartesian
0.000 0.000 0.000
5.219 3.013 2.131
2.609 1.507 1.065
7.828 4.520 3.196

=====

Entry 7:
K3Sb (PBE, optimized geometry); formation energy from raw total energies = -414 meV/atom; energy relative to the lowest polymorph listed for this composition = 0.0 kJ per mole of atoms; space-group type = P6_3/mmc, No. 194
1.0
-0.112 5.642 -2.330
-5.062 -3.413 -0.021
-2.711 3.961 9.724
Sb K
2 6
Cartesian
-2.440 3.614 0.871
-5.446 2.576 6.502
-0.678 0.990 2.431
-7.208 5.200 4.942
-3.338 4.926 4.090
-3.632 -0.073 -0.002
-4.548 1.265 3.283
-4.254 6.264 7.375

=====

Entry 8:
YIr2PbN (PBE, optimized geometry); formation energy from raw total energies = 16 meV/atom; space-group type = P4/mmm, No. 123
1.0
-4.003 0.842 1.159
0.654 -2.456 4.045
1.309 3.549 1.943
Pb Y Ir N
1 1 2 1
Cartesian
-1.020 0.967 3.574
0.327 -1.228 2.022
0.655 1.774 0.971
-2.002 0.421 0.580
0.000 0.000 0.000

=====

Entry 9:
Na3Hg7Au2 (PBE, optimized geometry); energy relative to the lowest polymorph listed for this composition = 0.0 kJ per mole of atoms; formation energy = -0.16 eV per atom; space-group type = P2/m, No. 10
1.0
4.368 0.000 0.000
0.000 4.542 -0.016
0.000 -2.373 16.075
Na Hg Au
3 7 2
Cartesian
2.184 2.271 -0.008
0.000 -0.018 5.302
0.000 2.187 10.757
2.184 2.212 7.124
2.184 -0.043 8.934
0.000 2.256 2.463
0.000 0.000 0.000
0.000 -0.087 13.596
2.184 2.196 13.612
2.184 -0.027 2.447
2.184 2.246 4.376
2.184 -0.077 11.682

=====

Entry 10:
Mg4Ag5Bi (PBE, optimized geometry); formation energy = -0.17 eV per atom; space-group type = P4/mmm, No. 123
1.0
-1.905 -0.765 -2.697
-0.004 -3.260 0.928
-14.245 2.666 9.309
Mg Ag Bi
4 5 1
Cartesian
-3.110 0.582 2.032
-5.780 1.082 3.777
-8.465 1.584 5.532
-11.136 2.084 7.277
-2.776 -1.672 0.305
-5.385 -1.184 2.010
-8.077 -0.680 3.770
-10.770 -0.176 5.529
-13.379 0.312 7.234
0.000 0.000 0.000

=====

Entry 11:
Rb12As3I5 (PBE, optimized geometry); formation energy from raw total energies = -760 meV/atom; space-group type = Ia-3d, No. 230
1.0
18.173 0.000 0.000
-6.058 17.134 0.000
-6.058 -8.567 14.838
As I Rb
12 20 48
Cartesian
10.601 5.354 1.855
10.601 11.780 1.855
-1.514 7.496 9.274
1.514 -1.071 5.564
13.630 0.000 3.710
1.514 8.567 3.710
4.543 0.000 11.129
-7.572 8.567 11.129
4.543 9.638 9.274
7.572 1.071 5.564
-4.543 -3.213 12.984
-4.543 3.213 12.984
-1.514 4.283 3.710
-3.029 8.567 0.000
0.000 0.000 0.000
4.543 3.213 1.855
6.058 -4.283 7.419
6.058 8.567 0.000
-4.543 9.638 5.564
7.572 -5.354 12.984
7.572 7.496 5.564
1.514 -4.283 11.129
4.543 12.850 3.710
3.029 4.283 7.419
9.087 0.000 0.000
-3.029 -4.283 7.419
-1.514 1.071 9.274
-1.514 13.921 1.855
-6.058 4.283 7.419
10.601 -1.071 9.274
1.514 5.354 12.984
7.572 4.283 11.129
12.064 1.890 0.957
0.052 6.057 6.261
13.217 3.836 3.964
7.985 2.768 2.115
2.240 6.831 9.917
12.480 8.462 2.498
-1.102 9.635 6.079
-4.956 14.366 2.115
0.789 10.303 9.917
8.722 8.672 2.498
9.138 4.400 5.304
9.138 15.244 0.957
-5.269 7.720 8.376
3.393 6.456 1.340
-6.109 12.734 5.304
3.081 -2.510 8.577
-0.789 0.890 3.455
3.393 10.783 1.158
7.985 13.298 3.964
-0.364 6.351 1.158
-3.818 9.457 11.384
4.131 7.499 6.079
8.297 9.414 8.376
6.422 -2.111 13.499
1.927 1.068 8.759
-2.240 -0.847 6.462
-0.364 10.678 1.340
-1.927 -4.731 10.874
9.876 -0.890 3.455
6.422 2.216 13.680
2.664 -2.216 13.680
2.977 11.077 6.261
6.847 7.677 11.384
12.167 -4.167 9.534
11.326 0.847 6.462
-3.081 -6.677 13.882
2.664 2.111 13.499
5.269 -1.736 4.921
-2.664 -0.105 12.340
-3.081 4.167 9.534
11.014 -5.799 12.723
7.160 -1.068 8.759
-1.927 5.799 12.723
-6.422 0.105 12.340
3.818 1.736 4.921
-7.160 4.731 10.874
6.006 2.510 8.577
-6.006 6.677 13.882

=====

Entry 12:
Pu6InSn (PBE, optimized geometry); formation energy = -0.08 eV per atom; space-group type = P4/mmm, No. 123
1.0
4.649 0.000 0.000
0.000 4.649 0.000
0.000 0.000 9.505
Pu In Sn
6 1 1
Cartesian
2.325 2.325 0.000
2.325 2.325 4.753
2.325 0.000 2.381
2.325 0.000 7.124
0.000 2.325 2.381
0.000 2.325 7.124
0.000 0.000 4.753
0.000 0.000 0.000